{"formula": "CsTa3Bi", "functional": "PBE-GGA", "state": "relaxed", "cell": [[5.105, 0.000, 0.000], [0.000, 5.105, 0.000], [0.000, 0.000, 5.105]], "species": ["Cs", "Bi", "Ta", "Ta", "Ta"], "fractional_positions": [[0.000, 0.000, 0.000], [0.500, 0.500, 0.500], [0.000, 0.500, 0.000], [0.000, 0.000, 0.500], [0.500, 0.000, 0.000]], "space_group": "Pm-3m (221)", "crystal_system": "cubic", "de_polymorph_mev_per_atom": 508, "dos_at_fermi_per_ev_cell": 5.7}

{"formula": "CsTaBi3", "functional": "PBE-GGA", "state": "relaxed", "cell": [[5.660, 0.000, 0.000], [0.000, 5.660, 0.000], [0.000, 0.000, 5.660]], "species": ["Cs", "Bi", "Bi", "Bi", "Ta"], "fractional_positions": [[0.500, 0.500, 0.500], [0.000, 0.500, 0.000], [0.000, 0.000, 0.500], [0.500, 0.000, 0.000], [0.000, 0.000, 0.000]], "space_group": "Pm-3m (221)", "crystal_system": "cubic", "de_polymorph_mev_per_atom": 0, "dos_at_fermi_per_ev_cell": 5.5}

{"formula": "CsTaBi3", "functional": "PBE-GGA", "state": "relaxed", "cell": [[6.000, 0.000, 0.000], [0.000, 6.000, 0.000], [0.000, 0.000, 6.000]], "species": ["Cs", "Bi", "Bi", "Bi", "Ta"], "fractional_positions": [[0.000, 0.000, 0.000], [0.000, 0.500, 0.000], [0.000, 0.000, 0.500], [0.500, 0.000, 0.000], [0.500, 0.500, 0.500]], "space_group": "Pm-3m (221)", "crystal_system": "cubic", "de_polymorph_mev_per_atom": 2260, "dos_at_fermi_per_ev_cell": 14.6}

{"formula": "CsZrTa2Bi", "functional": "PBE-GGA", "state": "relaxed", "cell": [[5.044, 0.000, 0.000], [0.000, 5.907, 0.000], [0.000, 0.000, 5.044]], "species": ["Cs", "Bi", "Zr", "Ta", "Ta"], "fractional_positions": [[0.000, 0.000, 0.000], [0.000, 0.500, 0.000], [0.500, 0.500, 0.500], [0.000, 0.000, 0.500], [0.500, 0.000, 0.000]], "space_group": "P4/mmm (123)", "crystal_system": "tetragonal", "dos_at_fermi_per_ev_cell": 9.2}

{"formula": "CsTbBi2", "functional": "PBE-GGA", "state": "relaxed", "cell": [[4.899, 0.000, 0.000], [2.450, 4.243, 0.000], [2.450, 1.414, 8.536]], "species": ["Cs", "Tb", "Bi", "Bi"], "fractional_positions": [[0.500, 0.500, 0.500], [0.000, 0.000, 0.000], [0.277, 0.277, 0.168], [0.723, 0.723, 0.832]], "space_group": "R-3m (166)", "crystal_system": "trigonal", "de_polymorph_mev_per_atom": 121, "dos_at_fermi_per_ev_cell": 3.4}

{"formula": "CsTbBi2", "functional": "PBE-GGA", "state": "relaxed", "cell": [[-2.253, 0.121, 3.608], [3.434, -1.239, 2.186], [2.215, 8.096, 1.111]], "species": ["Cs", "Tb", "Bi", "Bi"], "fractional_positions": [[0.500, 0.500, 0.500], [0.500, 0.500, 0.000], [0.000, 0.000, 0.818], [0.000, 0.000, 0.182]], "space_group": "P4/mmm (123)", "crystal_system": "tetragonal", "de_polymorph_mev_per_atom": 0, "dos_at_fermi_per_ev_cell": 2.5}

{"formula": "Cs3Tb3BiTe8", "functional": "PBE-GGA", "state": "relaxed", "cell": [[8.947, 0.000, 0.000], [-4.473, 7.776, -0.044], [0.000, -5.156, 9.213]], "species": ["Cs", "Cs", "Cs", "Tb", "Tb", "Tb", "Bi", "Te", "Te", "Te", "Te", "Te", "Te", "Te", "Te"], "fractional_positions": [[0.000, 0.000, 0.000], [0.000, 0.500, 0.000], [0.500, 0.500, 0.000], [0.500, 0.000, 0.500], [0.500, 0.500, 0.500], [0.000, 0.500, 0.500], [0.000, 0.000, 0.500], [0.269, 0.539, 0.309], [0.731, 0.461, 0.691], [0.765, 0.530, 0.308], [0.235, 0.470, 0.692], [0.765, 0.043, 0.308], [0.235, 0.957, 0.692], [0.278, 0.043, 0.308], [0.722, 0.957, 0.692]], "space_group": "C2/m (12)", "crystal_system": "monoclinic", "dos_at_fermi_per_ev_cell": 10.2, "formation_energy_uncorrected_ev_per_fu": -16.83}

{"formula": "Cs2TcBi", "functional": "PBE-GGA", "state": "relaxed", "cell": [[7.713, -6.820, -0.524], [-10.052, 2.088, 0.938], [0.167, 1.994, -10.114]], "species": ["Cs", "Cs", "Cs", "Cs", "Tc", "Tc", "Bi", "Bi"], "fractional_positions": [[0.625, 0.375, 0.750], [0.625, 0.875, 0.250], [0.125, 0.375, 0.750], [0.625, 0.375, 0.250], [0.500, 0.500, 0.000], [0.750, 0.250, 0.500], [0.000, 0.000, 0.000], [0.250, 0.750, 0.500]], "space_group": "I4_1/amd (141)", "crystal_system": "tetragonal", "dos_at_fermi_per_ev_cell": 10.7}

Summary of DFT total energy in eV/atom
-5.11 -4.69 -2.43 -4.54 -3.69 -3.81 -4.15 -3.34
(order as listed above)